# Li2AgSnAu5 | Alexandria | GGA-PBE | relaxed
data_Li2AgSnAu5
_cell_length_a 7.0117
_cell_length_b 7.0117
_cell_length_c 13.2355
_cell_angle_alpha 90.00
_cell_angle_beta 90.00
_cell_angle_gamma 90.00
_symmetry_space_group_name_H-M 'I 4/m c m'
_symmetry_Int_Tables_number 140
_symmetry_space_group_name_Hall '-I 4 2c'
loop_
_atom_site_label
_atom_site_type_symbol
_atom_site_fract_x
_atom_site_fract_y
_atom_site_fract_z
_atom_site_occupancy
Li1 Li 0.1067 0.3933 0.0000 1
Ag1 Ag 0.0000 0.5000 0.2500 1
Sn1 Sn 0.0000 0.0000 0.2500 1
Au1 Au 0.0000 0.0000 0.0000 1
Au2 Au 0.2118 0.2882 0.3778 1
# - DFT formation energy: -0.127 eV/atom
# - Calculated volume: 18.08 A^3/atom
# - D(E_F): 7.2 states/eV/cell
# - DFT total energy: -3.1343 eV/atom
# - Calculated density: 12.51 g/cm3